[1]
Here is an optimized crystal structure of Sr2ZnGaFe from Alexandria via LeMat-Bulk. Energies are from PBE.

Unit cell a=5.6136 b=4.6951 c=5.6136 alpha=90.00 beta=90.00 gamma=90.00
Last column: nearest neighbours and their distance in Å.
Positions (direct):
Sr (0.0000, 0.0000, 0.5000)  2 Fe 2.81
Sr (0.5000, 0.0000, 0.0000)  2 Fe 2.81
Zn (0.0000, 0.5000, 0.0000)  2 Fe 2.35
Fe (0.0000, 0.0000, 0.0000)  2 Zn 2.35
Ga (0.5000, 0.5000, 0.5000)  8 Sr 3.66, 4 Zn 3.97

- space group = P4/mmm, No. 123
- crystal system = tetragonal
- excess energy over the best structure of this formula in the dataset (meV per atom) = 155.1



[2]
Here is an optimized crystal structure of CaScPb from Alexandria via LeMat-Bulk. Energies are from PBE.

Unit cell a=5.1166 b=5.1166 c=5.1166 alpha=60.00 beta=60.00 gamma=60.00
Last column: nearest neighbours and their distance in Å.
Positions (direct):
Pb (0.7500, 0.7500, 0.7500)  4 Ca 3.13, 4 Sc 3.13
Sc (0.0000, 0.0000, 0.0000)  4 Pb 3.13
Ca (0.5000, 0.5000, 0.5000)  4 Pb 3.13

- space group = F-43m, No. 216
- crystal system = cubic



Number 1: DFT formation energy 41 kJ per mole of atoms, calculated total energy -2.80 eV per atom. Number 2: DFT formation energy -21 kJ per mole of atoms, calculated total energy -4.24 eV per atom.